The following is a DFT calculation (PBE-GGA) of crystalline Mo3IrI at its relaxed geometry.

Calculated values
Polymorph energy (0 for the lowest one) ... 0.00 eV/f.u.
Space group ... Pm-3m (221)
Crystal system ... cubic
Formation energy without anion corrections ... 1.683 eV/atom

abc: 4.8327 4.8327 4.8327
angles: 90.00 90.00 90.00
With the nearest neighbours (Å) after each atom.
Element x y z (fractional)
Mo1 0.0000 0.0000 0.5000  2 Ir 2.42
Mo2 0.5000 0.0000 0.0000  2 Ir 2.42
Mo3 0.0000 0.5000 0.0000  2 Ir 2.42
Ir1 0.0000 0.0000 0.0000  6 Mo 2.42
I1 0.5000 0.5000 0.5000  12 Mo 3.42